(1)
Density functional theory data (PBE) for crystalline LaB2C2 at its relaxed geometry.

Its energy of formation from the pure elements is -10.2 kcal/mol of atoms. For the total energy, the calculation gives -0.2863 hartree per atom. The magnetic moment comes out at 0.000 μB per formula unit.

It has space group P4/mbm (No. 127), with a = 5.403 Å, b = 5.403 Å, c = 3.982 Å, α = 90.00°, β = 90.00° and γ = 90.00°. The distinct sites, in fractional coordinates, are La at (0.000, 0.000, 0.000), B at (0.138, 0.362, 0.500) and C at (0.161, 0.661, 0.500).

***

(2)
Density functional theory data (PBE) for crystalline Mg2SbPb at its relaxed geometry.

For the total energy, the calculation gives -0.1042 hartree per atom. The magnetic moment comes out at 0.000 μB per formula unit.

It has space group Cm (No. 8), with a = 11.585 Å, b = 3.369 Å, c = 5.443 Å, α = 90.00°, β = 104.79° and γ = 90.00°. The distinct sites, in fractional coordinates, are Mg at (0.000, 0.000, 0.000), Mg at (0.240, 0.500, 0.404), Sb at (0.252, 0.000, 0.918) and Pb at (0.485, 0.000, 0.484).

***

(3)
Density functional theory data (PBE) for crystalline Te2OsIF at its relaxed geometry.

For the total energy, the calculation gives -0.1384 hartree per atom. The magnetic moment comes out at 0.000 μB per formula unit.

It has space group P4/mmm (No. 123), with a = 5.123 Å, b = 5.123 Å, c = 5.606 Å, α = 90.00°, β = 90.00° and γ = 90.00°. The distinct sites, in fractional coordinates, are Te at (0.000, 0.500, 0.000), Os at (0.000, 0.000, 0.000), I at (0.000, 0.000, 0.500) and F at (0.500, 0.500, 0.500).

***

(4)
Density functional theory data (PBE) for crystalline Ca2HfCdIn at its relaxed geometry.

Its energy of formation from the pure elements is 17.6 kcal/mol of atoms. For the total energy, the calculation gives -0.1013 hartree per atom. The magnetic moment comes out at 2.706 μB per formula unit.

It has space group P4/mmm (No. 123), with a = 5.852 Å, b = 5.852 Å, c = 5.219 Å, α = 90.00°, β = 90.00° and γ = 90.00°. The distinct sites, in fractional coordinates, are Ca at (0.000, 0.500, 0.000), Hf at (0.000, 0.000, 0.500), Cd at (0.500, 0.500, 0.500) and In at (0.500, 0.500, 0.000).